(1)
Material: MgAl2Sb
Method: DFT, PBE
State: relaxed

E_form (uncorrected) = 43 kJ/mol of formula units
Calculated density = 3.891 g/cm3
Space-group type = R3m (160)
Magnetization = 0.000 μB per atom
DFT total energy = -12.760 eV per cell

Lattice parameters (Å, degrees): 9.680 9.680 9.680 19.15 19.15 19.15
Fractional positions:
Al: 0.996 0.996 0.996
Al: 0.252 0.252 0.252
Mg: 0.505 0.505 0.505
Sb: 0.748 0.748 0.748

***

(2)
Material: Pr2Sm2CN2
Method: DFT, PBE
State: relaxed

E_form (uncorrected) = -506 kJ/mol of formula units
Calculated density = 7.265 g/cm3
Space-group type = C2/m (12)
Magnetization = 0.000 μB per atom
DFT total energy = -50.115 eV per cell

Lattice parameters (Å, degrees): 3.636 7.272 7.252 58.94 75.52 60.03
Fractional positions:
Pr: 0.659 0.967 0.747
Pr: 0.341 0.033 0.253
Sm: 0.680 0.459 0.724
Sm: 0.320 0.541 0.276
C: 0.000 0.000 0.000
N: 0.978 0.283 0.475
N: 0.022 0.717 0.525

***

(3)
Material: TmPaInGa
Method: DFT, PBE
State: relaxed

Calculated density = 9.933 g/cm3
Space-group type = F-43m (216)
Magnetization = 0.236 μB per atom
Formation energy from the elements = -153 meV/atom
DFT total energy = -20.343 eV per cell

Lattice parameters (Å, degrees): 5.170 5.170 5.170 60.00 60.00 60.00
Fractional positions:
Pa: 0.000 0.000 0.000
Tm: 0.500 0.500 0.500
Ga: 0.250 0.250 0.250
In: 0.750 0.750 0.750

***

(4)
Material: Ti3Ga4Cu
Method: DFT, PBE
State: relaxed

Calculated density = 6.252 g/cm3
Space-group type = Immm (71)
Magnetization = 0.030 μB per atom
Formation energy from the elements = -212 meV/atom
Energy above the most stable polymorph in this dataset = 0 meV per atom
DFT total energy = -41.581 eV per cell

Lattice parameters (Å, degrees): 2.738 8.406 7.142 126.05 101.05 90.00
Fractional positions:
Cu: 0.500 0.000 0.000
Ga: 0.381 0.629 0.761
Ga: 0.619 0.371 0.239
Ga: 0.619 0.868 0.239
Ga: 0.381 0.132 0.761
Ti: 0.230 0.230 0.459
Ti: 0.770 0.770 0.541
Ti: 0.000 0.500 0.000

***

(5)
Material: Sr3Bi5Te12
Method: DFT, PBE
State: relaxed

E_form (uncorrected) = -972 kJ/mol of formula units
Calculated density = 5.718 g/cm3
Space-group type = Ia-3d (230)
Magnetization = 0.000 μB per atom
DFT total energy = -288.918 eV per cell

Lattice parameters (Å, degrees): 16.241 16.241 16.241 109.47 109.47 109.47
Fractional positions:
Sr: 0.750 0.375 0.125
Sr: 0.875 0.750 0.125
Sr: 0.375 0.750 0.625
Sr: 0.250 0.125 0.375
Sr: 0.875 0.125 0.250
Sr: 0.375 0.625 0.250
Sr: 0.625 0.375 0.750
Sr: 0.125 0.875 0.750
Sr: 0.750 0.875 0.625
Sr: 0.625 0.250 0.375
Sr: 0.125 0.250 0.875
Sr: 0.250 0.625 0.875
Bi: 0.125 0.375 0.250
Bi: 0.000 0.500 0.000
Bi: 0.000 0.000 0.000
Bi: 0.375 0.250 0.125
Bi: 0.500 0.000 0.500
Bi: 0.500 0.500 0.000
Bi: 0.125 0.750 0.375
Bi: 0.750 0.125 0.875
Bi: 0.750 0.625 0.375
Bi: 0.375 0.125 0.750
Bi: 0.625 0.875 0.250
Bi: 0.500 0.500 0.500
Bi: 0.500 0.000 0.000
Bi: 0.000 0.000 0.500
Bi: 0.250 0.375 0.625
Bi: 0.250 0.875 0.125
Bi: 0.000 0.500 0.500
Bi: 0.875 0.250 0.625
Bi: 0.625 0.750 0.875
Bi: 0.875 0.625 0.750
Te: 0.718 0.134 0.048
Te: 0.330 0.548 0.415
Te: 0.952 0.366 0.282
Te: 0.548 0.218 0.134
Te: 0.584 0.718 0.670
Te: 0.952 0.585 0.170
Te: 0.330 0.782 0.416
Te: 0.085 0.916 0.134
Te: 0.585 0.952 0.670
Te: 0.718 0.584 0.170
Te: 0.782 0.452 0.366
Te: 0.830 0.915 0.048
Te: 0.134 0.718 0.548
Te: 0.366 0.415 0.084
Te: 0.084 0.915 0.366
Te: 0.416 0.134 0.585
Te: 0.084 0.170 0.218
Te: 0.452 0.670 0.085
Te: 0.830 0.916 0.282
Te: 0.134 0.416 0.085
Te: 0.366 0.952 0.782
Te: 0.585 0.634 0.416
Te: 0.915 0.830 0.548
Te: 0.782 0.330 0.916
Te: 0.415 0.366 0.584
Te: 0.085 0.170 0.452
Te: 0.218 0.670 0.084
Te: 0.170 0.084 0.718
Te: 0.634 0.048 0.218
Te: 0.866 0.584 0.915
Te: 0.548 0.330 0.915
Te: 0.584 0.866 0.415
Te: 0.916 0.830 0.782
Te: 0.916 0.085 0.634
Te: 0.866 0.282 0.452
Te: 0.170 0.085 0.952
Te: 0.634 0.585 0.916
Te: 0.415 0.048 0.330
Te: 0.282 0.416 0.830
Te: 0.218 0.548 0.634
Te: 0.915 0.084 0.866
Te: 0.670 0.218 0.584
Te: 0.452 0.782 0.866
Te: 0.048 0.415 0.830
Te: 0.416 0.282 0.330
Te: 0.048 0.634 0.718
Te: 0.670 0.452 0.585
Te: 0.282 0.866 0.952

***

(6)
Material: Ac8RuRh3Br4
Method: DFT, PBE
State: relaxed

E_form (uncorrected) = -1684 kJ/mol of formula units
Calculated density = 7.864 g/cm3
Space-group type = R-3m (166)
Magnetization = 0.000 μB per atom
DFT total energy = -88.347 eV per cell

Lattice parameters (Å, degrees): 8.636 9.704 8.636 116.45 120.00 90.00
Fractional positions:
Ac: 0.230 0.695 0.966
Ac: 0.230 0.695 0.459
Ac: 0.269 0.307 0.538
Ac: 0.736 0.695 0.966
Ac: 0.264 0.305 0.034
Ac: 0.731 0.693 0.462
Ac: 0.770 0.305 0.541
Ac: 0.770 0.305 0.034
Ru: 0.000 0.500 0.000
Rh: 0.500 0.500 0.000
Rh: 0.500 0.500 0.500
Rh: 0.000 0.500 0.500
Br: 0.500 0.000 0.000
Br: 0.500 0.000 0.500
Br: 0.000 0.000 0.000
Br: 0.000 0.000 0.500

***

(7)
Material: Ba2SrCaF
Method: DFT, PBE
State: relaxed

E_form (uncorrected) = -513 kJ/mol of formula units
Calculated density = 3.236 g/cm3
Space-group type = P4/mmm (123)
Magnetization = 0.001 μB per atom
DFT total energy = -14.718 eV per cell

Lattice parameters (Å, degrees): 6.894 6.894 4.548 90.00 90.00 90.00
Fractional positions:
Sr: 0.500 0.500 0.500
Ca: 0.000 0.000 0.500
Ba: 0.000 0.500 0.000
Ba: 0.500 0.000 0.000
F: 0.000 0.000 0.000

***

(8)
Material: HfMn5Cr
Method: DFT, PBE
State: relaxed

Calculated density = 9.403 g/cm3
Space-group type = Pnma (62)
Magnetization = 0.441 μB per atom
Formation energy from the elements = -59 meV/atom
DFT total energy = -263.345 eV per cell

Lattice parameters (Å, degrees): 4.667 7.822 9.775 90.00 90.00 90.00
Fractional positions:
Hf: 0.250 0.247 0.937
Hf: 0.750 0.253 0.437
Hf: 0.250 0.747 0.563
Hf: 0.750 0.753 0.063
Mn: 0.250 0.591 0.023
Mn: 0.750 0.909 0.523
Mn: 0.250 0.091 0.477
Mn: 0.750 0.409 0.977
Mn: 0.750 0.312 0.746
Mn: 0.250 0.188 0.246
Mn: 0.750 0.812 0.754
Mn: 0.250 0.688 0.254
Mn: 0.250 0.945 0.083
Mn: 0.750 0.555 0.583
Mn: 0.250 0.445 0.417
Mn: 0.750 0.055 0.917
Mn: 0.988 0.427 0.192
Mn: 0.012 0.073 0.692
Mn: 0.512 0.927 0.308
Mn: 0.488 0.573 0.808
Mn: 0.012 0.573 0.808
Mn: 0.988 0.927 0.308
Mn: 0.488 0.073 0.692
Mn: 0.512 0.427 0.192
Cr: 0.250 0.866 0.857
Cr: 0.750 0.634 0.357
Cr: 0.250 0.366 0.643
Cr: 0.750 0.134 0.143